# 1
NiPBr after structural relaxation. Source: Alexandria via LeMat-Bulk, functional GGA-PBEsol.

Unit cell a=3.1487 b=3.1487 c=5.7361 alpha=105.93 beta=105.93 gamma=90.00
Positions (direct):
P (0.2233, 0.2233, 0.4467)
Br (0.0046, 0.0046, 0.0092)
Ni (0.7721, 0.7721, 0.5442)

Results
**Formation energy from raw total energies**: -0.0361 eV per atom
**D(E_F)**: 0.967 states/eV/cell
**Total magnetic moment**: 0.0 μB/f.u.
**Space-group type**: I4mm (107)
**Polymorph energy (0 for the lowest one)**: 0.00 eV/f.u.

***

# 2
NiP2Br after structural relaxation. Source: Alexandria via LeMat-Bulk, functional GGA-PBEsol.

Unit cell a=3.3169 b=3.6934 c=6.4782 alpha=82.98 beta=75.17 gamma=63.32
Positions (direct):
Br (0.5000, 0.0000, 0.0000)
P (0.8771, 0.8895, 0.3563)
P (0.1229, 0.1105, 0.6437)
Ni (0.5000, 0.5000, 0.5000)

Results
**Formation energy from raw total energies**: -0.1162 eV per atom
**D(E_F)**: 1.666 states/eV/cell
**Total magnetic moment**: 0.0 μB/f.u.
**Space-group type**: C2/m (12)
**Polymorph energy (0 for the lowest one)**: 0.00 eV/f.u.

***

# 3
NiP2Br after structural relaxation. Source: Alexandria via LeMat-Bulk, functional GGA-PBEsol.

Unit cell a=3.5561 b=3.5561 c=6.5296 alpha=74.20 beta=74.20 gamma=60.00
Positions (direct):
Ni (0.0000, 0.0000, 0.0000)
Br (0.5000, 0.5000, 0.5000)
P (0.7147, 0.7147, 0.8559)
P (0.2853, 0.2853, 0.1441)

Results
**Formation energy from raw total energies**: -0.0639 eV per atom
**D(E_F)**: 2.364 states/eV/cell
**Total magnetic moment**: 0.0 μB/f.u.
**Space-group type**: R-3m (166)
**Polymorph energy (0 for the lowest one)**: 0.21 eV/f.u.

***

# 4
NiPBr after structural relaxation. Source: Alexandria via LeMat-Bulk, functional GGA-PBEsol.

Unit cell a=4.1659 b=4.1659 c=4.1659 alpha=60.00 beta=60.00 gamma=60.00
Positions (direct):
P (0.0000, 0.0000, 0.0000)
Ni (0.2500, 0.2500, 0.2500)
Br (0.5000, 0.5000, 0.5000)

Results
**Formation energy from raw total energies**: 0.4639 eV per atom
**D(E_F)**: 3.161 states/eV/cell
**Total magnetic moment**: 0.0 μB/f.u.
**Space-group type**: F-43m (216)
**Polymorph energy (0 for the lowest one)**: 1.50 eV/f.u.

***

# 5
NiPPbBr2 after structural relaxation. Source: Alexandria via LeMat-Bulk, functional GGA-PBEsol.

Unit cell a=4.6034 b=4.6034 c=5.4940 alpha=90.00 beta=90.00 gamma=90.00
Each line ends with the local moment (μB).
Positions (direct):
Ni (0.0000, 0.0000, 0.0000)  -0.05
Pb (0.0000, 0.0000, 0.5000)  0.00
Br (0.5000, 0.0000, 0.0000)  0.01
Br (0.0000, 0.5000, 0.0000)  0.01
P (0.5000, 0.5000, 0.5000)  0.32

Results
**Formation energy from raw total energies**: 0.3704 eV per atom
**D(E_F)**: 4.701 states/eV/cell
**Total magnetic moment**: 0.7 μB/f.u.
**Space-group type**: P4/mmm (123)

***

# 6
NiPSe2Br after structural relaxation. Source: Alexandria via LeMat-Bulk, functional GGA-PBEsol.

Unit cell a=4.6193 b=4.6193 c=4.6135 alpha=90.00 beta=90.00 gamma=90.00
Positions (direct):
Se (0.5000, 0.0000, 0.0000)
Se (0.0000, 0.5000, 0.0000)
P (0.5000, 0.5000, 0.5000)
Br (0.0000, 0.0000, 0.5000)
Ni (0.0000, 0.0000, 0.0000)

Results
**Formation energy from raw total energies**: 0.5464 eV per atom
**D(E_F)**: 3.867 states/eV/cell
**Total magnetic moment**: 0.0 μB/f.u.
**Space-group type**: P4/mmm (123)